This record from Alexandria describes a relaxed La3ZrS crystal. The functional is PBE.

- Crystal system: cubic
- Total magnetization: 0.00 μB/atom
- Formation energy without anion corrections: 290 meV/atom
- Relative energy among the computed polymorphs: 771.9 meV per atom

abc: 5.6246 5.6246 5.6246
angles: 90.00 90.00 90.00
With the nearest neighbours (Å) after each atom.
Sites, in units of the cell vectors:
1 La 0.0000 0.0000 0.5000  2 Zr 2.81
2 La 0.0000 0.5000 0.0000  2 Zr 2.81
3 La 0.5000 0.0000 0.0000  2 Zr 2.81
4 Zr 0.0000 0.0000 0.0000  6 La 2.81
5 S 0.5000 0.5000 0.5000  12 La 3.98